Ti4SnO10 | SCAN | single point on PBEsol structure

Lattice parameters (Å, degrees): 4.647 5.522 12.865 101.81 90.08 90.09
Fractional positions:
Ti1 0.504 0.081 0.902
Ti2 0.500 0.500 0.500
Ti3 0.496 0.919 0.098
Ti4 0.998 0.797 0.700
Ti5 0.000 0.000 0.500
Ti6 0.002 0.203 0.300
Ti7 0.980 0.410 0.098
Ti8 0.020 0.590 0.902
Sn1 0.497 0.701 0.299
Sn2 0.503 0.299 0.701
O1 0.820 0.545 0.763
O2 0.802 0.748 0.562
O3 0.818 0.944 0.360
O4 0.799 0.149 0.161
O5 0.808 0.343 0.960
O6 0.700 0.030 0.765
O7 0.700 0.244 0.555
O8 0.695 0.645 0.153
O9 0.696 0.845 0.963
O10 0.699 0.435 0.364
O11 0.305 0.355 0.847
O12 0.300 0.970 0.235
O13 0.301 0.565 0.636
O14 0.300 0.756 0.445
O15 0.304 0.155 0.037
O16 0.198 0.252 0.438
O17 0.201 0.851 0.839
O18 0.192 0.657 0.040
O19 0.182 0.056 0.640
O20 0.180 0.455 0.237

Summary:
- symmetry = P-1
- formation energy from raw total energies (eV/atom) = -2.99

***

Zr2TiSnO8 | SCAN | single point on PBEsol structure

Lattice parameters (Å, degrees): 4.833 5.133 5.669 90.00 90.00 90.82
Fractional positions:
Zr1 0.000 0.000 0.824
Zr2 0.500 0.500 0.695
Ti1 0.000 0.500 0.183
Sn1 0.500 0.000 0.319
O1 0.282 0.169 0.600
O2 0.219 0.672 0.901
O3 0.781 0.328 0.901
O4 0.718 0.831 0.600
O5 0.745 0.335 0.383
O6 0.771 0.810 0.105
O7 0.229 0.190 0.105
O8 0.255 0.665 0.383

Summary:
- symmetry = P2
- formation energy from raw total energies (eV/atom) = -3.13

***

TlSn3O | SCAN | single point on PBEsol structure

Lattice parameters (Å, degrees): 4.861 4.861 4.861 90.00 90.00 90.00
Fractional positions:
Tl1 0.500 0.500 0.500
Sn1 0.000 0.500 0.000
Sn2 0.000 0.000 0.500
Sn3 0.500 0.000 0.000
O1 0.000 0.000 0.000

Summary:
- symmetry = Pm-3m
- formation energy from raw total energies (eV/atom) = -0.12

***

Tl2SnO3 | SCAN | single point on PBEsol structure

Lattice parameters (Å, degrees): 3.248 10.189 12.390 90.00 90.00 90.00
Fractional positions:
Tl1 0.250 0.867 0.104
Tl2 0.750 0.133 0.896
Tl3 0.250 0.367 0.396
Tl4 0.750 0.633 0.604
Tl5 0.250 0.707 0.349
Tl6 0.750 0.293 0.651
Tl7 0.250 0.207 0.151
Tl8 0.750 0.793 0.849
Sn1 0.750 0.540 0.111
Sn2 0.250 0.460 0.889
Sn3 0.750 0.040 0.389
Sn4 0.250 0.960 0.611
O1 0.250 0.608 0.010
O2 0.750 0.392 0.990
O3 0.250 0.108 0.490
O4 0.750 0.892 0.510
O5 0.250 0.956 0.307
O6 0.750 0.044 0.693
O7 0.250 0.456 0.193
O8 0.750 0.544 0.807
O9 0.750 0.713 0.192
O10 0.250 0.287 0.808
O11 0.750 0.213 0.308
O12 0.250 0.787 0.692

Summary:
- symmetry = Pnma
- formation energy from raw total energies (eV/atom) = -1.26

***

no.,total moment (μB per cell)
1,0.0
2,0.0
3,0.0
4,0.0